1.
Below is a relaxed structure of NaFeS2Cl, with properties calculated at the PBE level.

As for the uncorrected formation energy: -374 meV per atom. For the energy above the most stable polymorph in this dataset, the calculation gives 0 meV per atom. The final energy is -4.35 eV per atom.

Cell lengths 4.2761, 4.2761, 5.6076 Å; angles 90.00, 90.00, 90.00 degrees
Last column: nearest neighbours and their distance in Å.
Space group P4/mmm (No. 123)
Unique sites:
1 Na 0.0000 0.0000 0.0000 [1 per cell]  4 Cl 3.02
2 Fe 0.5000 0.5000 0.5000 [1 per cell]  4 S 2.14
3 S 0.0000 0.5000 0.5000 [2 per cell]  2 Fe 2.14
4 Cl 0.5000 0.5000 0.0000 [1 per cell]  2 Fe 2.80, 4 Na 3.02

2.
Below is a relaxed structure of NaFeSCl2, with properties calculated at the PBE level.

As for the uncorrected formation energy: 375 meV per atom. For the energy above the most stable polymorph in this dataset, the calculation gives 1093 meV per atom. The final energy is -3.15 eV per atom.

Cell lengths 4.8637, 4.8637, 5.1734 Å; angles 90.00, 90.00, 90.00 degrees
Last column: nearest neighbours and their distance in Å.
Space group P4/mmm (No. 123)
Unique sites:
1 Na 0.0000 0.0000 0.0000 [1 per cell]  4 Cl 2.43, 2 S 2.59
2 Fe 0.5000 0.5000 0.5000 [1 per cell]  4 S 3.44, 8 Cl 3.55
3 S 0.0000 0.0000 0.5000 [1 per cell]  2 Na 2.59
4 Cl 0.0000 0.5000 0.0000 [2 per cell]  2 Na 2.43

3.
Below is a relaxed structure of NaFeSCl2, with properties calculated at the PBE level.

As for the uncorrected formation energy: -718 meV per atom. For the energy above the most stable polymorph in this dataset, the calculation gives 0 meV per atom. The final energy is -4.24 eV per atom.

Cell lengths 4.9787, 4.9787, 4.4993 Å; angles 90.00, 90.00, 90.00 degrees
Last column: nearest neighbours and their distance in Å.
Space group P4/mmm (No. 123)
Unique sites:
1 Na 0.0000 0.0000 0.0000 [1 per cell]  8 Cl 3.36, 4 S 3.52
2 Fe 0.5000 0.5000 0.5000 [1 per cell]  2 S 2.25, 4 Cl 2.49
3 S 0.5000 0.5000 0.0000 [1 per cell]  2 Fe 2.25
4 Cl 0.0000 0.5000 0.5000 [2 per cell]  2 Fe 2.49

4.
Below is a relaxed structure of NaFeS2Cl, with properties calculated at the PBE level.

As for the uncorrected formation energy: 956 meV per atom. For the energy above the most stable polymorph in this dataset, the calculation gives 1330 meV per atom. The final energy is -3.02 eV per atom.

Cell lengths 5.4194, 5.4194, 5.3428 Å; angles 90.00, 90.00, 90.00 degrees
Last column: nearest neighbours and their distance in Å.
Space group P4/mmm (No. 123)
Unique sites:
1 Na 0.0000 0.0000 0.0000 [1 per cell]  2 Cl 2.67, 4 S 2.71
2 Fe 0.5000 0.5000 0.5000 [1 per cell]  8 S 3.81, 4 Cl 3.83
3 S 0.0000 0.5000 0.0000 [2 per cell]  2 Na 2.71
4 Cl 0.0000 0.0000 0.5000 [1 per cell]  2 Na 2.67